Entry 1:
Ga3Pd5 after structural relaxation. Source: the Alexandria database, functional GGA-PBEsol.

Symmetry: Pbam
Formation energy (eV/atom): -0.667
Total energy (eV per atom): -5.643

a b c (Å): 3.994 5.416 10.535
angles (deg): 90.00 90.00 90.00
Fractional coordinates of all 16 atoms:
Pd 0.500 0.911 0.233
Ga 0.500 0.000 0.000
Pd 0.000 0.191 0.105
Ga 0.000 0.158 0.355
Ga 0.500 0.500 0.500
Pd 0.000 0.309 0.605
Pd 0.500 0.089 0.767
Pd 0.500 0.000 0.500
Ga 0.000 0.842 0.645
Pd 0.500 0.500 0.000
Pd 0.000 0.691 0.395
Pd 0.500 0.589 0.733
Pd 0.500 0.411 0.267
Ga 0.000 0.658 0.145
Ga 0.000 0.342 0.855
Pd 0.000 0.809 0.895

---

Entry 2:
GaPd after structural relaxation. Source: the Alexandria database, functional GGA-PBEsol.

Symmetry: P2_13
Formation energy (eV/atom): -0.701
Total energy (eV per atom): -5.351

a b c (Å): 4.874 4.874 4.874
angles (deg): 90.00 90.00 90.00
Fractional coordinates of all 8 atoms:
Ga 0.157 0.343 0.657
Ga 0.657 0.157 0.343
Pd 0.643 0.357 0.857
Pd 0.857 0.643 0.357
Ga 0.343 0.657 0.157
Ga 0.843 0.843 0.843
Pd 0.357 0.857 0.643
Pd 0.143 0.143 0.143

---

Entry 3:
GaPd after structural relaxation. Source: the Alexandria database, functional GGA-PBEsol.

Symmetry: Pm-3m
Formation energy (eV/atom): -0.609
Total energy (eV per atom): -5.259

a b c (Å): 3.061 3.061 3.061
angles (deg): 90.00 90.00 90.00
Fractional coordinates of all 2 atoms:
Ga 0.500 0.500 0.500
Pd 0.000 0.000 0.000

---

Entry 4:
PrGaPd after structural relaxation. Source: the Alexandria database, functional GGA-PBEsol.

Symmetry: Pnma
Formation energy (eV/atom): -0.841
Total energy (eV per atom): -5.668

a b c (Å): 4.525 7.125 7.611
angles (deg): 90.00 90.00 90.00
Fractional coordinates of all 12 atoms:
Pr 0.750 0.522 0.305
Pr 0.750 0.022 0.195
Ga 0.750 0.673 0.921
Pr 0.250 0.478 0.695
Pd 0.250 0.207 0.406
Ga 0.250 0.827 0.421
Pd 0.250 0.707 0.094
Pd 0.750 0.293 0.906
Ga 0.750 0.173 0.579
Pd 0.750 0.793 0.594
Ga 0.250 0.327 0.079
Pr 0.250 0.978 0.805

---

The lowest total energy belongs to which entry?
PrGaPd

---

Among the records above, which one has the lowest total energy?
PrGaPd

---

Copy entry 4 word for word.
PrGaPd after structural relaxation. Source: the Alexandria database, functional GGA-PBEsol.

Symmetry: Pnma
Formation energy (eV/atom): -0.841
Total energy (eV per atom): -5.668

a b c (Å): 4.525 7.125 7.611
angles (deg): 90.00 90.00 90.00
Fractional coordinates of all 12 atoms:
Pr 0.750 0.522 0.305
Pr 0.750 0.022 0.195
Ga 0.750 0.673 0.921
Pr 0.250 0.478 0.695
Pd 0.250 0.207 0.406
Ga 0.250 0.827 0.421
Pd 0.250 0.707 0.094
Pd 0.750 0.293 0.906
Ga 0.750 0.173 0.579
Pd 0.750 0.793 0.594
Ga 0.250 0.327 0.079
Pr 0.250 0.978 0.805